# 1
Material: La5Pr2Er
Method: DFT, GGA-PBE
State: optimized geometry

a b c (Å): 6.7514 6.7514 16.6965
angles (deg): 90.00 90.00 129.40
With the nearest neighbours (Å) after each atom.
Fractional coordinates of all 16 atoms:
La1 0.0343 0.9657 0.7500  1 Er 3.45, 2 Pr 3.54, 2 La 3.74
La2 0.1133 0.8867 0.0534  1 La 3.29, 2 Pr 3.45, 1 Er 3.67
La3 0.1133 0.8867 0.4466  1 La 3.29, 2 Pr 3.45, 1 Er 3.67
La4 0.4220 0.5780 0.0934  1 Er 3.37, 1 La 3.65, 1 Pr 3.74
La5 0.4220 0.5780 0.4066  1 Er 3.37, 1 La 3.65, 1 Pr 3.74
La6 0.5780 0.4220 0.5934  1 Er 3.37, 1 La 3.65, 1 Pr 3.74
La7 0.5780 0.4220 0.9066  1 Er 3.37, 1 La 3.65, 1 Pr 3.74
La8 0.8867 0.1133 0.5534  1 La 3.29, 2 Pr 3.45, 1 Er 3.67
La9 0.8867 0.1133 0.9466  1 La 3.29, 2 Pr 3.45, 1 Er 3.67
La10 0.9657 0.0343 0.2500  1 Er 3.45, 2 Pr 3.54, 2 La 3.74
Pr1 0.2764 0.7236 0.6335  7 La 3.45-3.83, 2 Er 3.49
Pr2 0.2764 0.7236 0.8665  7 La 3.45-3.83, 2 Er 3.49
Pr3 0.7236 0.2764 0.1335  7 La 3.45-3.83, 2 Er 3.49
Pr4 0.7236 0.2764 0.3665  7 La 3.45-3.83, 2 Er 3.49
Er1 0.2483 0.7517 0.2500  5 La 3.37-3.67, 4 Pr 3.49
Er2 0.7517 0.2483 0.7500  5 La 3.37-3.67, 4 Pr 3.49

E_tot = -4.74 eV/atom
ΔH_f (0 K) = 80 kJ/mol of formula units

# 2
Material: YAlSe3
Method: DFT, GGA-PBE
State: optimized geometry

a b c (Å): 4.0355 7.0456 7.0456
angles (deg): 65.43 90.00 90.00
With the nearest neighbours (Å) after each atom.
Fractional coordinates of all 5 atoms:
Y1 0.0000 0.0000 0.0000  5 Se 2.79-2.81
Al1 0.5000 0.6469 0.6469  4 Se 2.38-2.44
Se1 0.0000 0.7629 0.7629  2 Al 2.44
Se2 0.5000 0.2764 0.7751  1 Al 2.38
Se3 0.5000 0.7751 0.2764  1 Al 2.38

E_tot = -5.36 eV/atom
polymorph energy (0 for the lowest one) = 145 meV per atom
energy relative to the elements, uncorrected = -118.3 kJ per mole of atoms

# 3
Material: Li2ZnCo
Method: DFT, GGA-PBE
State: optimized geometry

a b c (Å): 3.1137 3.1137 5.3840
angles (deg): 90.00 90.00 90.00
With the nearest neighbours (Å) after each atom.
Fractional coordinates of all 4 atoms:
Li1 0.0000 0.0000 0.2352  1 Li 2.53, 4 Co 2.54, 4 Zn 2.62
Li2 0.0000 0.0000 0.7648  1 Li 2.53, 4 Co 2.54, 4 Zn 2.62
Zn1 0.5000 0.5000 0.5000  8 Li 2.62, 2 Co 2.69
Co1 0.5000 0.5000 0.0000  8 Li 2.54, 2 Zn 2.69

E_tot = -2.86 eV/atom
ΔH_f (0 K) = 76 kJ/mol of formula units

# 4
Material: Ba2Sb2Pd
Method: DFT, GGA-PBE
State: optimized geometry

a b c (Å): 7.7476 7.7476 5.3433
angles (deg): 90.00 90.00 90.00
With the nearest neighbours (Å) after each atom.
Fractional coordinates of all 10 atoms:
Ba1 0.1711 0.3289 0.0000  6 Sb 3.38-3.60, 1 Ba 3.75
Ba2 0.3289 0.8289 0.0000  6 Sb 3.38-3.60, 1 Ba 3.75
Ba3 0.6711 0.1711 0.0000  6 Sb 3.38-3.60, 1 Ba 3.75
Ba4 0.8289 0.6711 0.0000  6 Sb 3.38-3.60, 1 Ba 3.75
Sb1 0.1393 0.6393 0.5000  2 Pd 3.00, 1 Sb 3.05
Sb2 0.3607 0.1393 0.5000  2 Pd 3.00, 1 Sb 3.05
Sb3 0.6393 0.8607 0.5000  2 Pd 3.00, 1 Sb 3.05
Sb4 0.8607 0.3607 0.5000  2 Pd 3.00, 1 Sb 3.05
Pd1 0.0000 0.0000 0.5000  4 Sb 3.00
Pd2 0.5000 0.5000 0.5000  4 Sb 3.00

E_tot = -4.17 eV/atom
polymorph energy (0 for the lowest one) = 202 meV per atom
energy relative to the elements, uncorrected = -68.9 kJ per mole of atoms

Q: Which of these has the lowest E_tot?
A: YAlSe3

Q: Among the records above, which one has the lowest E_tot?
A: YAlSe3

Q: What is the E_tot in the fourth record?
A: -4.17 eV/atom